*w*
VASP calculation (PBE-GGA) on Ga3NCl after structural relaxation.

Volume   32.5 Å³/atom
Spin magnetization   1.4 μB per formula unit
Theoretical density   2642 kg/m³
SG   No. 221

Cell and atoms, written as POSCAR:
```
Ga3NCl
1.0
5.4574 0.0000 0.0000
0.0000 5.4574 0.0000
0.0000 0.0000 5.4574
Ga N Cl
3 1 1
Cartesian
0.0000 0.0000 2.7287
0.0000 2.7287 0.0000
2.7287 0.0000 0.0000
2.7287 2.7287 2.7287
0.0000 0.0000 0.0000
```



*x*
VASP calculation (PBE-GGA) on Ga3NCl after structural relaxation.

Volume   19.3 Å³/atom
Spin magnetization   0.0 μB per formula unit
Theoretical density   4455 kg/m³
SG   No. 221

Cell and atoms, written as POSCAR:
```
Ga3NCl
1.0
4.5852 0.0000 0.0000
0.0000 4.5852 0.0000
0.0000 0.0000 4.5852
Ga N Cl
3 1 1
Cartesian
0.0000 0.0000 2.2926
0.0000 2.2926 0.0000
2.2926 0.0000 0.0000
0.0000 0.0000 0.0000
2.2926 2.2926 2.2926
```



The computed energies, referenced to the most stable structure and given in eV/atom, are *w* 0.897; *x* 0.000.



*w*
VASP calculation (PBE-GGA) on GaP2NCl after structural relaxation.

Volume   20.0 Å³/atom
Spin magnetization   0.5 μB per formula unit
Theoretical density   3003 kg/m³
SG   No. 123

Cell and atoms, written as POSCAR:
```
GaP2NCl
1.0
3.8382 0.0000 0.0000
0.0000 3.8382 0.0000
0.0000 0.0000 6.7987
Ga P N Cl
1 2 1 1
Cartesian
0.0000 0.0000 0.0000
0.0000 1.9191 3.3993
1.9191 0.0000 3.3993
1.9191 1.9191 3.3993
1.9191 1.9191 0.0000
```



*x*
VASP calculation (PBE-GGA) on GaP2NCl after structural relaxation.

Volume   18.0 Å³/atom
Spin magnetization   0.0 μB per formula unit
Theoretical density   3337 kg/m³
SG   No. 123

Cell and atoms, written as POSCAR:
```
GaP2NCl
1.0
4.9573 0.0000 0.0000
0.0000 4.9573 0.0000
0.0000 0.0000 3.6675
Ga P N Cl
1 2 1 1
Cartesian
0.0000 0.0000 0.0000
0.0000 2.4787 0.0000
2.4787 0.0000 0.0000
0.0000 0.0000 1.8338
2.4787 2.4787 1.8338
```



The computed energies, referenced to the most stable structure and given in eV/atom, are *w* 0.000; *x* 0.540.



*w*
VASP calculation (PBE-GGA) on GaSN2Cl after structural relaxation.

Volume   15.0 Å³/atom
Spin magnetization   1.9 μB per formula unit
Theoretical density   3657 kg/m³
SG   No. 123

Cell and atoms, written as POSCAR:
```
GaSN2Cl
1.0
3.9534 0.0000 0.0000
0.0000 3.9534 0.0000
0.0000 0.0000 4.8013
Ga S N Cl
1 1 2 1
Cartesian
0.0000 0.0000 0.0000
1.9767 1.9767 0.0000
0.0000 1.9767 2.4007
1.9767 0.0000 2.4007
1.9767 1.9767 2.4007
```



*x*
VASP calculation (PBE-GGA) on GaSN2Cl after structural relaxation.

Volume   16.6 Å³/atom
Spin magnetization   3.7 μB per formula unit
Theoretical density   3306 kg/m³
SG   No. 123

Cell and atoms, written as POSCAR:
```
GaSN2Cl
1.0
3.8879 0.0000 0.0000
0.0000 3.8879 0.0000
0.0000 0.0000 5.4917
Ga S N Cl
1 1 2 1
Cartesian
0.0000 0.0000 0.0000
0.0000 0.0000 2.7458
0.0000 1.9440 0.0000
1.9440 0.0000 0.0000
1.9440 1.9440 2.7458
```



The computed energies, referenced to the most stable structure and given in eV/atom, are *w* 0.676; *x* 0.000.



*w*
VASP calculation (PBE-GGA) on GaS2NCl after structural relaxation.

Volume   18.6 Å³/atom
Spin magnetization   2.5 μB per formula unit
Theoretical density   3280 kg/m³
SG   No. 123

Cell and atoms, written as POSCAR:
```
GaS2NCl
1.0
4.9424 0.0000 0.0000
0.0000 4.9424 0.0000
0.0000 0.0000 3.7988
Ga S N Cl
1 2 1 1
Cartesian
0.0000 0.0000 0.0000
0.0000 2.4712 0.0000
2.4712 0.0000 0.0000
0.0000 0.0000 1.8994
2.4712 2.4712 1.8994
```



*x*
VASP calculation (PBE-GGA) on GaS2NCl after structural relaxation.

Volume   21.4 Å³/atom
Spin magnetization   0.0 μB per formula unit
Theoretical density   2845 kg/m³
SG   No. 123

Cell and atoms, written as POSCAR:
```
GaS2NCl
1.0
3.9014 0.0000 0.0000
0.0000 3.9014 0.0000
0.0000 0.0000 7.0301
Ga S N Cl
1 2 1 1
Cartesian
0.0000 0.0000 0.0000
0.0000 1.9507 3.5151
1.9507 0.0000 3.5151
1.9507 1.9507 3.5151
1.9507 1.9507 0.0000
```



*y*
VASP calculation (PBE-GGA) on GaS2NCl after structural relaxation.

Volume   18.0 Å³/atom
Spin magnetization   1.5 μB per formula unit
Theoretical density   3375 kg/m³
SG   No. 123

Cell and atoms, written as POSCAR:
```
GaS2NCl
1.0
4.8921 0.0000 0.0000
0.0000 4.8921 0.0000
0.0000 0.0000 3.7683
Ga S N Cl
1 2 1 1
Cartesian
0.0000 0.0000 0.0000
0.0000 2.4460 1.8842
2.4460 0.0000 1.8842
2.4460 2.4460 0.0000
2.4460 2.4460 1.8842
```



The computed energies, referenced to the most stable structure and given in eV/atom, are *w* 0.366; *x* 0.000; *y* 0.794.



*w*
VASP calculation (PBE-GGA) on GaSeN2Cl after structural relaxation.

Volume   17.8 Å³/atom
Spin magnetization   3.6 μB per formula unit
Theoretical density   3950 kg/m³
SG   No. 123

Cell and atoms, written as POSCAR:
```
GaSeN2Cl
1.0
3.9040 0.0000 0.0000
0.0000 3.9040 0.0000
0.0000 0.0000 5.8517
Ga Se N Cl
1 1 2 1
Cartesian
0.0000 0.0000 0.0000
0.0000 0.0000 2.9258
0.0000 1.9520 0.0000
1.9520 0.0000 0.0000
1.9520 1.9520 2.9258
```



*x*
VASP calculation (PBE-GGA) on GaSeN2Cl after structural relaxation.

Volume   16.8 Å³/atom
Spin magnetization   2.3 μB per formula unit
Theoretical density   4191 kg/m³
SG   No. 123

Cell and atoms, written as POSCAR:
```
GaSeN2Cl
1.0
4.0673 0.0000 0.0000
0.0000 4.0673 0.0000
0.0000 0.0000 5.0808
Ga Se N Cl
1 1 2 1
Cartesian
0.0000 0.0000 0.0000
2.0336 2.0336 0.0000
0.0000 2.0336 2.5404
2.0336 0.0000 2.5404
2.0336 2.0336 2.5404
```



The computed energies, referenced to the most stable structure and given in eV/atom, are *w* 0.000; *x* 0.750.



*w*
VASP calculation (PBE-GGA) on GaSe2NCl after structural relaxation.

Volume   20.3 Å³/atom
Spin magnetization   0.0 μB per formula unit
Theoretical density   4530 kg/m³
SG   No. 123

Cell and atoms, written as POSCAR:
```
GaSe2NCl
1.0
5.3283 0.0000 0.0000
0.0000 5.3283 0.0000
0.0000 0.0000 3.5779
Ga Se N Cl
1 2 1 1
Cartesian
0.0000 0.0000 0.0000
0.0000 2.6642 0.0000
2.6642 0.0000 0.0000
0.0000 0.0000 1.7889
2.6642 2.6642 1.7889
```



*x*
VASP calculation (PBE-GGA) on GaSe2NCl after structural relaxation.

Volume   22.9 Å³/atom
Spin magnetization   0.0 μB per formula unit
Theoretical density   4013 kg/m³
SG   No. 123

Cell and atoms, written as POSCAR:
```
GaSe2NCl
1.0
5.9604 0.0000 0.0000
0.0000 5.9604 0.0000
0.0000 0.0000 3.2278
Ga Se N Cl
1 2 1 1
Cartesian
0.0000 0.0000 0.0000
0.0000 2.9802 1.6139
2.9802 0.0000 1.6139
2.9802 2.9802 0.0000
2.9802 2.9802 1.6139
```



The computed energies, referenced to the most stable structure and given in eV/atom, are *w* 0.000; *x* 0.405.



*w*
VASP calculation (PBE-GGA) on GaTe2NCl after structural relaxation.

Volume   26.9 Å³/atom
Spin magnetization   0.0 μB per formula unit
Theoretical density   4623 kg/m³
SG   No. 123

Cell and atoms, written as POSCAR:
```
GaTe2NCl
1.0
6.4086 0.0000 0.0000
0.0000 6.4086 0.0000
0.0000 0.0000 3.2741
Ga Te N Cl
1 2 1 1
Cartesian
0.0000 0.0000 0.0000
0.0000 3.2043 1.6370
3.2043 0.0000 1.6370
3.2043 3.2043 0.0000
3.2043 3.2043 1.6370
```



*x*
VASP calculation (PBE-GGA) on GaTe2NCl after structural relaxation.

Volume   24.1 Å³/atom
Spin magnetization   0.0 μB per formula unit
Theoretical density   5159 kg/m³
SG   No. 123

Cell and atoms, written as POSCAR:
```
GaTe2NCl
1.0
5.8831 0.0000 0.0000
0.0000 5.8831 0.0000
0.0000 0.0000 3.4816
Ga Te N Cl
1 2 1 1
Cartesian
0.0000 0.0000 0.0000
0.0000 2.9415 0.0000
2.9415 0.0000 0.0000
0.0000 0.0000 1.7408
2.9415 2.9415 1.7408
```



The computed energies, referenced to the most stable structure and given in eV/atom, are *w* 0.455; *x* 0.000.



*w*
VASP calculation (PBE-GGA) on GaTeN2Cl after structural relaxation.

Volume   19.7 Å³/atom
Spin magnetization   3.5 μB per formula unit
Theoretical density   4390 kg/m³
SG   No. 123

Cell and atoms, written as POSCAR:
```
GaTeN2Cl
1.0
4.0001 0.0000 0.0000
0.0000 4.0001 0.0000
0.0000 0.0000 6.1648
Ga Te N Cl
1 1 2 1
Cartesian
0.0000 0.0000 0.0000
0.0000 0.0000 3.0824
0.0000 2.0001 0.0000
2.0001 0.0000 0.0000
2.0001 2.0001 3.0824
```



*x*
VASP calculation (PBE-GGA) on GaTeN2Cl after structural relaxation.

Volume   18.9 Å³/atom
Spin magnetization   2.4 μB per formula unit
Theoretical density   4589 kg/m³
SG   No. 123

Cell and atoms, written as POSCAR:
```
GaTeN2Cl
1.0
4.1650 0.0000 0.0000
0.0000 4.1650 0.0000
0.0000 0.0000 5.4395
Ga Te N Cl
1 1 2 1
Cartesian
0.0000 0.0000 0.0000
2.0825 2.0825 0.0000
0.0000 2.0825 2.7198
2.0825 0.0000 2.7198
2.0825 2.0825 2.7198
```



The computed energies, referenced to the most stable structure and given in eV/atom, are *w* 0.000; *x* 0.806.



*w*
VASP calculation (PBE-GGA) on Na3GaCl6 after structural relaxation.

Volume   30.4 Å³/atom
Spin magnetization   0.0 μB per formula unit
Theoretical density   1920 kg/m³
SG   No. 36

Cell and atoms, written as POSCAR:
```
Na3GaCl6
1.0
5.7043 -7.4320 0.0000
5.7043 7.4320 0.0000
0.0000 0.0000 7.1693
Na Ga Cl
6 2 12
Cartesian
5.7043 6.6087 3.5847
3.0326 1.4912 3.0475
3.0326 -1.4912 6.6321
8.3761 1.4912 3.0475
8.3761 -1.4912 6.6321
5.7043 -6.6087 0.0000
5.7043 2.9570 5.3480
5.7043 -2.9570 1.7633
3.9233 4.0825 4.6377
1.8849 0.4529 5.2074
1.8849 -0.4529 1.6227
5.7043 2.6989 0.3287
7.4854 4.0825 4.6377
5.7043 1.0801 4.1590
5.7043 -1.0801 0.5743
3.9233 -4.0825 1.0530
5.7043 -2.6989 3.9133
9.5237 0.4529 5.2074
9.5237 -0.4529 1.6227
7.4854 -4.0825 1.0530
```



*x*
VASP calculation (PBE-GGA) on Na3GaCl6 after structural relaxation.

Volume   25.9 Å³/atom
Spin magnetization   0.0 μB per formula unit
Theoretical density   2256 kg/m³
SG   No. 225

Cell and atoms, written as POSCAR:
```
Na3GaCl6
1.0
0.0000 5.0567 5.0567
5.0567 0.0000 5.0567
5.0567 5.0567 0.0000
Na Ga Cl
3 1 6
Cartesian
0.0000 0.0000 0.0000
2.5283 2.5283 2.5283
7.5850 7.5850 7.5850
5.0567 5.0567 5.0567
5.0567 5.0567 2.6812
5.0567 2.6812 5.0567
7.4322 5.0567 5.0567
2.6812 5.0567 5.0567
5.0567 7.4322 5.0567
5.0567 5.0567 7.4322
```



*y*
VASP calculation (PBE-GGA) on Na3GaCl6 after structural relaxation.

Volume   23.5 Å³/atom
Spin magnetization   0.0 μB per formula unit
Theoretical density   2481 kg/m³
SG   No. 14

Cell and atoms, written as POSCAR:
```
Na3GaCl6
1.0
6.7078 0.0000 0.0000
0.0000 7.1088 0.0000
-6.6863 0.0000 9.8656
Na Ga Cl
6 2 12
Cartesian
0.0000 0.0000 0.0000
-3.3432 3.5544 4.9328
-3.5463 0.5843 7.3484
-0.2031 2.9701 2.4156
0.2246 4.1387 7.4500
3.5677 6.5245 2.5172
0.0107 0.0000 4.9328
3.3539 3.5544 0.0000
-1.9249 1.2531 4.3228
-5.2681 2.3013 9.2556
-1.0940 5.0852 4.2105
-4.4371 5.5780 9.1433
0.8948 0.3539 2.7131
-2.4484 3.2005 7.6459
2.4699 3.9082 2.2197
-0.8733 6.7549 7.1525
4.4586 1.5308 0.7223
1.1154 2.0236 5.6551
5.2895 4.8075 0.6100
1.9464 5.8557 5.5428
```



The computed energies, referenced to the most stable structure and given in eV/atom, are *w* 0.000; *x* 0.125; *y* 0.018.



*w*
VASP calculation (PBE-GGA) on NaGaPCl2 after structural relaxation.

Volume   30.1 Å³/atom
Spin magnetization   3.0 μB per formula unit
Theoretical density   2149 kg/m³
SG   No. 123

Cell and atoms, written as POSCAR:
```
NaGaPCl2
1.0
5.2704 0.0000 0.0000
0.0000 5.2704 0.0000
0.0000 0.0000 5.4133
Na Ga P Cl
1 1 1 2
Cartesian
0.0000 0.0000 0.0000
2.6352 2.6352 2.7066
0.0000 0.0000 2.7066
0.0000 2.6352 0.0000
2.6352 0.0000 0.0000
```



*x*
VASP calculation (PBE-GGA) on NaGaPCl2 after structural relaxation.

Volume   25.6 Å³/atom
Spin magnetization   1.4 μB per formula unit
Theoretical density   2528 kg/m³
SG   No. 123

Cell and atoms, written as POSCAR:
```
NaGaPCl2
1.0
5.1891 0.0000 0.0000
0.0000 5.1891 0.0000
0.0000 0.0000 4.7472
Na Ga P Cl
1 1 1 2
Cartesian
0.0000 0.0000 0.0000
2.5945 2.5945 2.3736
2.5945 2.5945 0.0000
0.0000 2.5945 2.3736
2.5945 0.0000 2.3736
```



The computed energies, referenced to the most stable structure and given in eV/atom, are *w* 0.421; *x* 0.000.



*w*
VASP calculation (PBE-GGA) on NaGaS2Cl after structural relaxation.

Volume   28.4 Å³/atom
Spin magnetization   3.0 μB per formula unit
Theoretical density   2253 kg/m³
SG   No. 123

Cell and atoms, written as POSCAR:
```
NaGaS2Cl
1.0
5.2283 0.0000 0.0000
0.0000 5.2283 0.0000
0.0000 0.0000 5.1857
Na Ga S Cl
1 1 2 1
Cartesian
0.0000 0.0000 0.0000
2.6142 2.6142 2.5928
0.0000 2.6142 0.0000
2.6142 0.0000 0.0000
0.0000 0.0000 2.5928
```



*x*
VASP calculation (PBE-GGA) on NaGaS2Cl after structural relaxation.

Volume   23.2 Å³/atom
Spin magnetization   0.5 μB per formula unit
Theoretical density   2749 kg/m³
SG   No. 123

Cell and atoms, written as POSCAR:
```
NaGaS2Cl
1.0
4.6703 0.0000 0.0000
0.0000 4.6703 0.0000
0.0000 0.0000 5.3260
Na Ga S Cl
1 1 2 1
Cartesian
0.0000 0.0000 0.0000
2.3352 2.3352 2.6630
0.0000 2.3352 2.6630
2.3352 0.0000 2.6630
2.3352 2.3352 0.0000
```



The computed energies, referenced to the most stable structure and given in eV/atom, are *w* 0.756; *x* 0.000.



*w*
VASP calculation (PBE-GGA) on NaGaSCl2 after structural relaxation.

Volume   23.7 Å³/atom
Spin magnetization   0.0 μB per formula unit
Theoretical density   2747 kg/m³
SG   No. 123

Cell and atoms, written as POSCAR:
```
NaGaSCl2
1.0
5.0692 0.0000 0.0000
0.0000 5.0692 0.0000
0.0000 0.0000 4.6039
Na Ga S Cl
1 1 1 2
Cartesian
0.0000 0.0000 0.0000
2.5346 2.5346 2.3020
2.5346 2.5346 0.0000
0.0000 2.5346 2.3020
2.5346 0.0000 2.3020
```



*x*
VASP calculation (PBE-GGA) on NaGaSCl2 after structural relaxation.

Volume   29.2 Å³/atom
Spin magnetization   2.0 μB per formula unit
Theoretical density   2226 kg/m³
SG   No. 123

Cell and atoms, written as POSCAR:
```
NaGaSCl2
1.0
5.3049 0.0000 0.0000
0.0000 5.3049 0.0000
0.0000 0.0000 5.1868
Na Ga S Cl
1 1 1 2
Cartesian
0.0000 0.0000 0.0000
2.6524 2.6524 2.5934
0.0000 0.0000 2.5934
0.0000 2.6524 0.0000
2.6524 0.0000 0.0000
```



The computed energies, referenced to the most stable structure and given in eV/atom, are *w* 0.000; *x* 0.628.